{"formula": "AgPO3", "functional": "PBE", "state": "relaxed", "sg": "P2_1/c", "dft_energy_ev_per_cell": -245.97, "cell": [[11.818, 0.000, -0.067], [0.000, 6.017, 0.000], [-0.485, 0.000, 7.292]], "species": ["Ag", "O", "P", "P", "Ag", "O", "O", "O", "Ag", "O", "Ag", "O", "P", "O", "P", "Ag", "O", "O", "O", "Ag", "Ag", "O", "O", "Ag", "O", "O", "O", "O", "P", "P", "O", "O", "O", "O", "P", "O", "P", "O", "O", "O"], "fractional_positions": [[0.536, 0.592, 0.266], [0.054, 0.805, 0.075], [0.271, 0.308, 0.014], [0.229, 0.808, 0.486], [0.876, 0.673, 0.391], [0.753, 0.858, 0.136], [0.840, 0.539, 0.981], [0.747, 0.358, 0.364], [0.464, 0.408, 0.734], [0.660, 0.039, 0.519], [0.964, 0.092, 0.234], [0.876, 0.049, 0.512], [0.110, 0.613, 0.174], [0.228, 0.691, 0.286], [0.390, 0.113, 0.326], [0.624, 0.173, 0.109], [0.946, 0.195, 0.925], [0.624, 0.549, 0.988], [0.253, 0.642, 0.636], [0.376, 0.827, 0.891], [0.124, 0.327, 0.609], [0.772, 0.309, 0.714], [0.956, 0.526, 0.699], [0.036, 0.908, 0.766], [0.124, 0.951, 0.488], [0.160, 0.461, 0.019], [0.376, 0.451, 0.012], [0.044, 0.474, 0.301], [0.771, 0.192, 0.514], [0.610, 0.887, 0.674], [0.728, 0.809, 0.786], [0.544, 0.026, 0.801], [0.247, 0.142, 0.864], [0.272, 0.191, 0.214], [0.890, 0.387, 0.826], [0.446, 0.305, 0.425], [0.729, 0.692, 0.986], [0.456, 0.974, 0.199], [0.340, 0.961, 0.481], [0.554, 0.695, 0.575]]}



{"formula": "PaAgPO", "functional": "PBE", "state": "relaxed", "sg": "P4/nmm", "relative_energy_kj_per_mol_fu": 0, "m_tot_mub_per_cell": 1.987, "cell": [[-3.307, 1.035, 1.897], [-0.703, -3.795, 0.844], [4.563, 0.824, 7.505]], "species": ["Ag", "Ag", "O", "O", "P", "P", "Pa", "Pa"], "fractional_positions": [[0.500, 0.500, 0.500], [0.000, 0.000, 0.500], [0.000, 0.000, 0.000], [0.500, 0.500, 0.000], [0.000, 0.500, 0.704], [0.500, 0.000, 0.296], [0.500, 0.000, 0.845], [0.000, 0.500, 0.155]]}



{"formula": "PaAgPO", "functional": "PBE", "state": "relaxed", "sg": "P4/mmm", "relative_energy_kj_per_mol_fu": 151, "m_tot_mub_per_cell": 1.100, "cell": [[5.713, 0.000, 0.000], [0.000, 5.713, 0.000], [0.000, 0.000, 4.567]], "species": ["Ag", "P", "Ag", "O", "Pa", "P", "O", "Pa"], "fractional_positions": [[0.000, 0.000, 0.000], [0.000, 0.000, 0.500], [0.500, 0.500, 0.000], [0.000, 0.500, 0.000], [0.000, 0.500, 0.500], [0.500, 0.500, 0.500], [0.500, 0.000, 0.000], [0.500, 0.000, 0.500]]}



no.,volume (Å³ per atom)
1,12.96
2,17.21
3,18.64